# 1
LiCdIn2 | meta-GGA SCAN | single point on PBEsol structure Values from VASP.

Geometry as Quantum ESPRESSO input:
```
&SYSTEM
  ibrav = 0, nat = 4, ntyp = 3
/
ATOMIC_SPECIES
In 114.82 In.upf
Cd 112.41 Cd.upf
Li 6.94 Li.upf
CELL_PARAMETERS angstrom
-0.703 -4.314 0.476
1.702 -0.718 -3.989
3.981 -0.452 1.780
ATOMIC_POSITIONS angstrom
In 0.851 -0.359 -1.995
In -0.352 -2.157 0.238
Cd 1.990 -0.226 0.890
Li 2.490 -2.742 -0.866
```

Results
E_tot: -25.089 eV per atom
Crystal system: tetragonal



# 2
LiCdIn2 | meta-GGA SCAN | single point on PBEsol structure Values from VASP.

Geometry as Quantum ESPRESSO input:
```
&SYSTEM
  ibrav = 0, nat = 4, ntyp = 3
/
ATOMIC_SPECIES
Cd 112.41 Cd.upf
In 114.82 In.upf
Li 6.94 Li.upf
CELL_PARAMETERS angstrom
-0.460 -3.220 -0.461
4.254 -0.570 -0.264
0.253 -0.891 6.000
ATOMIC_POSITIONS angstrom
Cd 2.023 -2.340 2.637
In -0.269 -3.891 4.071
In 0.062 -0.220 1.468
Li 1.897 -1.895 -0.363
```

Results
E_tot: -25.055 eV per atom
Crystal system: orthorhombic



# 3
LiCd4In | meta-GGA SCAN | single point on PBEsol structure Values from VASP.

Geometry as Quantum ESPRESSO input:
```
&SYSTEM
  ibrav = 0, nat = 6, ntyp = 3
/
ATOMIC_SPECIES
Cd 112.41 Cd.upf
In 114.82 In.upf
Li 6.94 Li.upf
CELL_PARAMETERS angstrom
5.746 0.000 0.000
2.873 4.976 0.000
2.873 1.659 4.692
ATOMIC_POSITIONS angstrom
Cd 7.190 2.484 1.757
Cd 4.303 2.484 1.757
Cd 5.746 3.318 4.114
Cd 5.746 4.984 1.757
In 8.619 4.976 3.519
Li 0.000 0.000 0.000
```

Results
E_tot: -26.272 eV per atom
Crystal system: cubic



# 4
Li2Cd2In | meta-GGA SCAN | single point on PBEsol structure Values from VASP.

Geometry as Quantum ESPRESSO input:
```
&SYSTEM
  ibrav = 0, nat = 10, ntyp = 3
/
ATOMIC_SPECIES
Cd 112.41 Cd.upf
In 114.82 In.upf
Li 6.94 Li.upf
CELL_PARAMETERS angstrom
3.270 0.000 0.000
0.000 7.685 0.000
0.000 0.000 7.685
ATOMIC_POSITIONS angstrom
Cd 0.000 4.862 1.020
Cd 0.000 2.823 6.665
Cd 0.000 6.665 4.862
Cd 0.000 1.020 2.823
In 0.000 0.000 0.000
In 0.000 3.842 3.842
Li 1.635 2.576 1.266
Li 1.635 5.109 6.418
Li 1.635 1.266 5.109
Li 1.635 6.418 2.576
```

Results
Energy above the lowest structure with this stoichiometry: 0 meV per atom
Crystal system: tetragonal



# 5
LiCdIn2 | meta-GGA SCAN | single point on PBEsol structure Values from VASP.

Geometry as Quantum ESPRESSO input:
```
&SYSTEM
  ibrav = 0, nat = 4, ntyp = 3
/
ATOMIC_SPECIES
In 114.82 In.upf
Cd 112.41 Cd.upf
Li 6.94 Li.upf
CELL_PARAMETERS angstrom
3.338 0.000 0.000
-1.669 4.775 0.005
0.000 -1.019 5.441
ATOMIC_POSITIONS angstrom
In 1.669 1.611 4.018
In 0.000 2.144 1.429
Cd 1.669 0.000 0.000
Li 0.000 -0.510 2.721
```

Results
E_tot: -25.042 eV per atom
Crystal system: monoclinic



# 6
LiCdIn2 | meta-GGA SCAN | single point on PBEsol structure Values from VASP.

Geometry as Quantum ESPRESSO input:
```
&SYSTEM
  ibrav = 0, nat = 4, ntyp = 3
/
ATOMIC_SPECIES
Li 6.94 Li.upf
In 114.82 In.upf
Cd 112.41 Cd.upf
CELL_PARAMETERS angstrom
4.425 0.000 0.000
0.000 4.425 0.000
-2.213 -2.213 4.363
ATOMIC_POSITIONS angstrom
Li 0.000 0.000 0.000
In 2.213 2.213 0.000
In 0.000 2.213 2.182
Cd 2.213 0.000 2.182
```

Results
E_tot: -25.073 eV per atom
Crystal system: tetragonal



Number 1: N(E_F) 0.322 states/eV per atom. Number 2: N(E_F) 0.286 states/eV per atom. Number 3: N(E_F) 0.254 states/eV per atom. Number 4: N(E_F) 0.288 states/eV per atom. Number 5: N(E_F) 0.361 states/eV per atom. Number 6: N(E_F) 0.353 states/eV per atom.